## Al2FeRh (PBE-GGA)

Data for Al2FeRh after structural relaxation.

Results
The formation energy is -62 meV/atom. As for the magnetization: 4.68 μB per cell. The calculation puts the total energy at -23.55 eV per formula unit. The mass density comes out at 5.91 g/cm³.

Cell and atoms, written as CIF:
```
data_Al2FeRh
_symmetry_space_group_name_H-M 'P 1'
_symmetry_Int_Tables_number 1
_cell_length_a 6.6451
_cell_length_b 6.6451
_cell_length_c 5.4235
_cell_angle_alpha 52.22
_cell_angle_beta 52.22
_cell_angle_gamma 90.00
loop_
_symmetry_equiv_pos_as_xyz
'x,y,z'
loop_
_atom_site_label
_atom_site_fract_x
_atom_site_fract_y
_atom_site_fract_z
Rh1 0.0000 0.0000 0.0000
Rh2 0.7500 0.2500 0.5000
Fe1 0.5000 0.5000 0.0000
Fe2 0.2500 0.7500 0.5000
Al1 0.6276 0.1250 0.2500
Al2 0.1224 0.6250 0.2500
Al3 0.3750 0.3724 0.7500
Al4 0.8750 0.8776 0.7500
```

---

## Pa2Cu3Ni4 (PBE-GGA)

Data for Pa2Cu3Ni4 after structural relaxation.

Results
The formation energy is -265 meV/atom. As for the magnetization: 0.00 μB per cell. The calculation puts the total energy at -56.79 eV per formula unit. The mass density comes out at 11.18 g/cm³.

Cell and atoms, written as CIF:
```
data_Pa2Cu3Ni4
_symmetry_space_group_name_H-M 'P 1'
_symmetry_Int_Tables_number 1
_cell_length_a 4.9113
_cell_length_b 4.9113
_cell_length_c 6.7813
_cell_angle_alpha 100.35
_cell_angle_beta 100.35
_cell_angle_gamma 120.25
loop_
_symmetry_equiv_pos_as_xyz
'x,y,z'
loop_
_atom_site_label
_atom_site_fract_x
_atom_site_fract_y
_atom_site_fract_z
Pa1 0.6431 0.6431 0.2861
Pa2 0.3569 0.3569 0.7139
Cu1 0.5000 0.0000 0.0000
Cu2 0.0000 0.0000 0.0000
Cu3 0.0000 0.5000 0.0000
Ni1 0.9853 0.6671 0.6524
Ni2 0.6671 0.9853 0.6524
Ni3 0.0147 0.3329 0.3476
Ni4 0.3329 0.0147 0.3476
```

---

## Si2SbW (PBE-GGA)

Data for Si2SbW after structural relaxation.

Results
As for the magnetization: 0.00 μB per cell. The calculation puts the total energy at -25.51 eV per formula unit. The mass density comes out at 8.91 g/cm³. For the energy relative to the elements, uncorrected, the calculation gives 0.602 eV/atom.

Cell and atoms, written as CIF:
```
data_Si2SbW
_symmetry_space_group_name_H-M 'P 1'
_symmetry_Int_Tables_number 1
_cell_length_a 5.0783
_cell_length_b 5.0783
_cell_length_c 5.0783
_cell_angle_alpha 140.60
_cell_angle_beta 124.32
_cell_angle_gamma 70.33
loop_
_symmetry_equiv_pos_as_xyz
'x,y,z'
loop_
_atom_site_label
_atom_site_fract_x
_atom_site_fract_y
_atom_site_fract_z
Sb1 0.2500 0.7500 0.5000
Si1 0.9973 0.9973 0.0000
Si2 0.5027 0.5027 0.0000
W1 0.7500 0.2500 0.5000
```

---

Q: Which formula does entry 2 have?
A: Pa2Cu3Ni4

---

Q: The highest magnetization belongs to which entry?
A: Al2FeRh

---

Q: What is the magnetization in the second record?
A: 0.00 μB per cell

---

Q: magnetization of number 3 (Si2SbW)?
A: 0.00 μB per cell